Record 1
First-principles (PBE-GGA) data for Ac3HfCu2O9 after structural relaxation, as listed in the Alexandria database.

Cell and atoms, written as extended XYZ:
```
15
Lattice="5.698 0.000 0.000 -2.849 4.935 0.000 0.000 0.000 7.042" Properties=species:S:1:pos:R:3 pbc="T T T"
Ac 0.000 0.000 0.000
Ac 0.000 3.290 4.889
Ac 2.849 1.645 2.153
Hf 0.000 0.000 3.521
Cu 0.000 3.290 1.160
Cu 2.849 1.645 5.882
O -1.425 2.467 0.000
O 0.000 1.640 2.305
O -1.428 4.114 2.305
O 1.421 0.820 4.737
O 2.849 0.000 0.000
O 1.425 2.467 0.000
O 1.428 4.114 2.305
O 4.277 0.820 4.737
O 2.849 3.294 4.737
```

Computed properties:
Raw formation energy = -2.539 eV/atom

Record 2
First-principles (PBE-GGA) data for Ti2Zn3 after structural relaxation, as listed in the Alexandria database.

Cell and atoms, written as extended XYZ:
```
10
Lattice="2.852 0.000 0.000 0.000 2.852 0.000 0.000 0.000 18.841" Properties=species:S:1:pos:R:3 pbc="T T T"
Ti 0.000 0.000 1.916
Ti 0.000 0.000 16.924
Ti 1.426 1.426 7.504
Ti 1.426 1.426 11.337
Zn 0.000 0.000 5.584
Zn 0.000 0.000 9.420
Zn 0.000 0.000 13.256
Zn 1.426 1.426 0.000
Zn 1.426 1.426 3.836
Zn 1.426 1.426 15.005
```

Computed properties:
Energy relative to the elements = -0.9 eV/f.u.
Energy above the most stable polymorph in this dataset = 0.0 meV per atom

Record 3
First-principles (PBE-GGA) data for AcLaPr2Ho after structural relaxation, as listed in the Alexandria database.

Cell and atoms, written as extended XYZ:
```
10
Lattice="4.294 -6.095 0.000 4.294 6.095 0.000 0.000 0.000 7.425" Properties=species:S:1:pos:R:3 pbc="T T T"
Ac 4.294 3.128 5.569
Ac 4.294 -3.128 1.856
La 4.294 0.162 1.856
La 4.294 -0.162 5.569
Pr 1.616 0.000 0.000
Pr 1.616 0.000 3.713
Pr 6.972 0.000 0.000
Pr 6.972 0.000 3.713
Ho 4.294 3.513 1.856
Ho 4.294 -3.513 5.569
```

Computed properties:
Energy relative to the elements = 1.7 eV/f.u.

Record 4
First-principles (PBE-GGA) data for TlBi2S5 after structural relaxation, as listed in the Alexandria database.

Cell and atoms, written as extended XYZ:
```
16
Lattice="2.825 -8.100 0.000 2.825 8.100 0.000 0.000 0.000 12.770" Properties=species:S:1:pos:R:3 pbc="T T T"
Tl 2.825 5.273 9.577
Tl 2.825 -5.273 3.192
Bi 2.825 5.244 0.918
Bi 2.825 5.244 5.466
Bi 2.825 -5.244 7.303
Bi 2.825 -5.244 11.851
S 2.825 7.772 7.327
S 2.825 7.772 11.828
S 2.825 3.866 3.192
S 2.825 3.136 7.009
S 2.825 3.136 12.145
S 2.825 -3.136 0.625
S 2.825 -3.136 5.760
S 2.825 -3.866 9.577
S 2.825 -7.772 0.942
S 2.825 -7.772 5.443
```

Computed properties:
Raw formation energy = -0.151 eV/atom

Record 5
First-principles (PBE-GGA) data for Na2LiBSe4 after structural relaxation, as listed in the Alexandria database.

Cell and atoms, written as extended XYZ:
```
16
Lattice="7.074 0.000 0.000 0.000 7.074 0.000 0.000 0.000 6.818" Properties=species:S:1:pos:R:3 pbc="T T T"
Na 0.000 3.537 0.000
Na 0.000 3.537 3.409
Na 3.537 0.000 0.000
Na 3.537 0.000 3.409
Li 0.000 0.000 0.000
Li 3.537 3.537 3.409
B 0.000 0.000 3.409
B 3.537 3.537 0.000
Se 1.125 1.125 2.076
Se 1.125 5.950 4.742
Se 2.413 2.413 5.485
Se 2.413 4.662 1.333
Se 4.662 2.413 1.333
Se 4.662 4.662 5.485
Se 5.950 1.125 4.742
Se 5.950 5.950 2.076
```

Computed properties:
Raw formation energy = -0.543 eV/atom

Record 6
First-principles (PBE-GGA) data for Ca4NdPa3N8 after structural relaxation, as listed in the Alexandria database.

Cell and atoms, written as extended XYZ:
```
16
Lattice="3.574 2.063 5.712 -3.574 2.063 5.712 0.000 -4.127 5.712" Properties=species:S:1:pos:R:3 pbc="T T T"
Ca 0.000 0.000 0.000
Ca -1.787 -1.032 5.712
Ca -1.787 1.032 11.424
Ca 0.000 2.063 5.712
Nd 0.000 0.000 8.568
Pa -3.574 0.000 8.568
Pa -1.787 1.032 2.856
Pa 1.787 1.032 2.856
N -1.906 -1.100 9.802
N 0.000 0.000 4.093
N 0.000 -2.201 7.333
N -1.906 1.100 7.333
N 1.906 -1.100 9.802
N 0.000 2.201 9.802
N 0.000 0.000 13.043
N 1.906 1.100 7.333
```

Computed properties:
Raw formation energy = -1.435 eV/atom

What did the fifth record say?
First-principles (PBE-GGA) data for Na2LiBSe4 after structural relaxation, as listed in the Alexandria database.

Cell and atoms, written as extended XYZ:
```
16
Lattice="7.074 0.000 0.000 0.000 7.074 0.000 0.000 0.000 6.818" Properties=species:S:1:pos:R:3 pbc="T T T"
Na 0.000 3.537 0.000
Na 0.000 3.537 3.409
Na 3.537 0.000 0.000
Na 3.537 0.000 3.409
Li 0.000 0.000 0.000
Li 3.537 3.537 3.409
B 0.000 0.000 3.409
B 3.537 3.537 0.000
Se 1.125 1.125 2.076
Se 1.125 5.950 4.742
Se 2.413 2.413 5.485
Se 2.413 4.662 1.333
Se 4.662 2.413 1.333
Se 4.662 4.662 5.485
Se 5.950 1.125 4.742
Se 5.950 5.950 2.076
```

Computed properties:
Raw formation energy = -0.543 eV/atom